PBEsol YTaRu2, relaxed; volume = 67 Å³ per cell; formation enthalpy at 0 K = -310 meV per atom; total moment = 0.0000 μB/atom; energy = -10.24 eV per atom
1.0
0.000 3.227 3.227
3.227 0.000 3.227
3.227 3.227 0.000
Y Ta Ru
1 1 2
direct
0.000 0.000 0.000
0.500 0.500 0.500
0.250 0.250 0.250
0.750 0.750 0.750



PBEsol YTaRu2, relaxed; volume = 68 Å³ per cell; formation enthalpy at 0 K = -24 meV per atom; total moment = 0.0000 μB/atom; energy = -9.95 eV per atom
1.0
-1.607 2.222 4.794
1.607 -2.222 4.794
1.607 2.222 -4.794
Y Ta Ru
1 1 2
direct
0.000 0.000 0.000
0.733 0.233 0.500
0.251 0.751 0.500
0.511 0.511 0.000



PBEsol YTa2Ru2, relaxed; volume = 98 Å³ per cell; formation enthalpy at 0 K = -232 meV per atom; total moment = 0.0001 μB/atom; energy = -10.69 eV per atom
1.0
-2.152 2.152 5.280
2.152 -2.152 5.280
2.152 2.152 -5.280
Y Ta Ru
1 2 2
direct
0.000 0.000 0.000
0.250 0.750 0.500
0.750 0.250 0.500
0.381 0.381 0.000
0.619 0.619 0.000



PBEsol TaZnRu2, relaxed; volume = 57 Å³ per cell; formation enthalpy at 0 K = -317 meV per atom; total moment = 0.0000 μB/atom; energy = -8.94 eV per atom
1.0
3.105 0.000 0.000
0.000 3.105 0.000
0.000 0.000 5.919
Ta Zn Ru
1 1 2
direct
0.000 0.000 0.000
0.000 0.000 0.500
0.500 0.500 0.257
0.500 0.500 0.743



PBEsol TaZnRu2, relaxed; volume = 58 Å³ per cell; formation enthalpy at 0 K = 108 meV per atom; total moment = 0.0002 μB/atom; energy = -8.51 eV per atom
1.0
1.373 0.793 8.944
-1.373 0.793 8.944
0.000 -1.586 8.944
Ta Zn Ru
1 1 2
direct
0.000 0.000 0.000
0.756 0.756 0.756
0.246 0.246 0.246
0.503 0.503 0.503



PBEsol Ta2ZnRu, relaxed; volume = 62 Å³ per cell; formation enthalpy at 0 K = -127 meV per atom; total moment = 0.0000 μB/atom; energy = -9.34 eV per atom
1.0
3.112 0.000 0.000
0.000 3.112 0.000
0.000 0.000 6.450
Ta Zn Ru
2 1 1
direct
0.000 0.000 0.000
0.500 0.500 0.293
0.000 0.000 0.550
0.500 0.500 0.776